Computed, not measured: crystalline Li4Nb2Cr3Ni3O16 at its relaxed geometry at the GGA+U level of DFT.

a b c (Å): 5.937 5.939 9.690
angles (deg): 89.73 89.49 60.10
Positions (direct):
Li  0.000  0.000  0.000
Li  0.014  0.982  0.508
Li  0.325  0.340  0.596
Li  0.666  0.665  0.092
Nb  0.326  0.338  0.993
Nb  0.695  0.641  0.505
Cr  0.182  0.651  0.277
Cr  0.185  0.155  0.276
Cr  0.345  0.839  0.767
Ni  0.662  0.163  0.286
Ni  0.818  0.343  0.784
Ni  0.821  0.834  0.784
O  0.010  0.995  0.698
O  0.017  0.988  0.192
O  0.038  0.477  0.158
O  0.169  0.667  0.904
O  0.171  0.164  0.902
O  0.298  0.346  0.387
O  0.337  0.827  0.393
O  0.467  0.490  0.160
O  0.468  0.036  0.160
O  0.497  0.538  0.645
O  0.497  0.971  0.646
O  0.629  0.681  0.887
O  0.663  0.167  0.915
O  0.842  0.826  0.399
O  0.845  0.318  0.401
O  0.956  0.523  0.645

Output
**Spin magnetization**: 8.00 μB/f.u.
**Calculated density**: 4495 kg/m³
**SG**: P1
**Crystal system**: triclinic
**Energy**: -6.7642 eV/atom